Record 1
Nd12DyIn4O3 (PBE, relaxed); N(E_F) = 16.10 states/eV/f.u.; raw formation energy = -18.2 kcal/mol of atoms
1.0
-5.171 5.171 5.171
5.171 -5.171 5.171
5.171 5.171 -5.171
Nd Dy In O
12 1 4 3
Direct
0.000 0.275 0.275
0.000 0.725 0.725
0.250 0.500 0.750
0.250 0.750 0.500
0.275 0.000 0.275
0.275 0.275 0.000
0.500 0.250 0.750
0.500 0.750 0.250
0.725 0.000 0.725
0.725 0.725 0.000
0.750 0.250 0.500
0.750 0.500 0.250
0.000 0.000 0.000
0.000 0.000 0.500
0.000 0.500 0.000
0.500 0.000 0.000
0.500 0.500 0.500
0.000 0.500 0.500
0.500 0.000 0.500
0.500 0.500 0.000

---

Record 2
Nd2DyInO (PBE, relaxed); N(E_F) = 1.96 states/eV/f.u.; raw formation energy = -32.5 kcal/mol of atoms
1.0
5.009 0.000 0.000
0.000 5.009 0.000
0.000 0.000 4.753
Nd Dy In O
2 1 1 1
Direct
0.000 0.500 0.000
0.500 0.000 0.000
0.000 0.000 0.500
0.500 0.500 0.500
0.000 0.000 0.000

---

Record 3
Pm5Nd2DyIn (PBE, relaxed); formation energy from the elements = -16 meV/atom; N(E_F) = 12.91 states/eV/f.u.
1.0
2.768 -10.097 0.000
2.768 10.097 0.000
0.000 0.000 10.849
Pm Nd Dy In
10 4 2 2
Direct
0.000 0.000 0.000
0.000 0.000 0.500
0.119 0.881 0.750
0.210 0.790 0.051
0.210 0.790 0.449
0.486 0.514 0.750
0.514 0.486 0.250
0.790 0.210 0.551
0.790 0.210 0.949
0.881 0.119 0.250
0.384 0.616 0.045
0.384 0.616 0.455
0.616 0.384 0.545
0.616 0.384 0.955
0.299 0.701 0.750
0.701 0.299 0.250
0.095 0.905 0.250
0.905 0.095 0.750

---

Record 4
PmNdDyIn (PBE, relaxed); excess energy over the best structure of this formula in the dataset = 0.120 eV/atom; formation energy from the elements = -117 meV/atom; N(E_F) = 5.42 states/eV/f.u.
1.0
0.000 3.922 3.922
3.922 0.000 3.922
3.922 3.922 0.000
Pm Nd Dy In
1 1 1 1
Direct
0.000 0.000 0.000
0.750 0.750 0.750
0.250 0.250 0.250
0.500 0.500 0.500

---

Record 5
Pm3Nd6Dy2In (PBE, relaxed); formation energy from the elements = -34 meV/atom; N(E_F) = 15.15 states/eV/f.u.
1.0
3.126 -5.439 0.000
3.126 5.439 0.000
-2.141 0.000 11.703
Pm Nd Dy In
3 6 2 1
Direct
0.000 0.000 0.000
0.331 0.669 0.000
0.669 0.331 0.000
0.094 0.420 0.256
0.255 0.255 0.746
0.420 0.094 0.256
0.580 0.906 0.744
0.745 0.745 0.254
0.906 0.580 0.744
0.166 0.834 0.500
0.834 0.166 0.500
0.500 0.500 0.500

---

Record 6
Pm6Nd2Dy3In (PBE, relaxed); formation energy from the elements = -53 meV/atom; N(E_F) = 14.13 states/eV/f.u.
1.0
3.098 -5.377 0.000
3.098 5.377 0.000
-2.078 0.000 11.706
Pm Nd Dy In
6 2 3 1
Direct
0.083 0.409 0.751
0.242 0.242 0.249
0.409 0.083 0.751
0.591 0.917 0.249
0.758 0.758 0.751
0.917 0.591 0.249
0.334 0.666 0.500
0.666 0.334 0.500
0.167 0.833 0.000
0.500 0.500 0.000
0.833 0.167 0.000
0.000 0.000 0.500

---

Record 7
Pm3Nd2Dy6In (PBE, relaxed); formation energy from the elements = -56 meV/atom; N(E_F) = 16.13 states/eV/f.u.
1.0
3.074 -5.327 0.000
3.074 5.327 0.000
-2.060 0.000 11.620
Pm Nd Dy In
3 2 6 1
Direct
0.000 0.000 0.000
0.333 0.667 0.000
0.667 0.333 0.000
0.166 0.834 0.500
0.834 0.166 0.500
0.091 0.418 0.253
0.255 0.255 0.748
0.418 0.091 0.253
0.582 0.909 0.747
0.745 0.745 0.252
0.909 0.582 0.747
0.500 0.500 0.500

---

Record 8
Pm2Nd3Dy6In (PBE, relaxed); formation energy from the elements = -52 meV/atom; N(E_F) = 16.28 states/eV/f.u.
1.0
3.077 -5.334 0.000
3.077 5.334 0.000
-2.061 0.000 11.619
Pm Nd Dy In
2 3 6 1
Direct
0.166 0.834 0.000
0.834 0.166 0.000
0.000 0.000 0.500
0.332 0.668 0.500
0.668 0.332 0.500
0.092 0.419 0.755
0.255 0.255 0.246
0.419 0.092 0.755
0.581 0.908 0.245
0.745 0.745 0.754
0.908 0.581 0.245
0.500 0.500 0.000

---

Record 9
PmNdDyIn (PBE, relaxed); excess energy over the best structure of this formula in the dataset = 0.000 eV/atom; formation energy from the elements = -236 meV/atom; N(E_F) = 5.73 states/eV/f.u.
1.0
-2.432 2.432 5.058
2.432 -2.432 5.058
2.432 2.432 -5.058
Pm Nd Dy In
1 1 1 1
Direct
0.000 0.000 0.000
0.750 0.250 0.500
0.500 0.500 0.000
0.250 0.750 0.500

---

Record 10
Pr2Nd6Dy3In (PBE, relaxed); formation energy from the elements = -53 meV/atom; N(E_F) = 14.16 states/eV/f.u.
1.0
3.116 -5.408 0.000
3.116 5.408 0.000
-2.091 0.000 11.780
Pr Nd Dy In
2 6 3 1
Direct
0.166 0.834 0.000
0.834 0.166 0.000
0.091 0.416 0.749
0.259 0.259 0.252
0.416 0.091 0.749
0.584 0.909 0.251
0.741 0.741 0.748
0.909 0.584 0.251
0.000 0.000 0.500
0.333 0.667 0.500
0.667 0.333 0.500
0.500 0.500 0.000

---

Record 11
Pr3Nd2Dy6In (PBE, relaxed); formation energy from the elements = -53 meV/atom; N(E_F) = 16.00 states/eV/f.u.
1.0
3.088 -5.351 0.000
3.088 5.351 0.000
-2.067 0.000 11.664
Pr Nd Dy In
3 2 6 1
Direct
0.000 0.000 0.000
0.332 0.668 0.000
0.668 0.332 0.000
0.166 0.834 0.500
0.834 0.166 0.500
0.092 0.419 0.255
0.255 0.255 0.746
0.419 0.092 0.255
0.581 0.908 0.745
0.745 0.745 0.254
0.908 0.581 0.745
0.500 0.500 0.500

---

Record 12
PrNdDyIn (PBE, relaxed); formation energy from the elements = -106 meV/atom; N(E_F) = 5.95 states/eV/f.u.
1.0
0.000 3.938 3.938
3.938 0.000 3.938
3.938 3.938 0.000
Pr Nd Dy In
1 1 1 1
Direct
0.000 0.000 0.000
0.250 0.250 0.250
0.750 0.750 0.750
0.500 0.500 0.500

---

Record 13
Pr6Nd3Dy2In (PBE, relaxed); formation energy from the elements = -31 meV/atom; N(E_F) = 15.69 states/eV/f.u.
1.0
3.148 -5.484 0.000
3.148 5.484 0.000
-2.173 0.000 11.775
Pr Nd Dy In
6 3 2 1
Direct
0.079 0.405 0.242
0.245 0.245 0.755
0.405 0.079 0.242
0.595 0.921 0.758
0.755 0.755 0.245
0.921 0.595 0.758
0.170 0.830 0.500
0.500 0.500 0.500
0.830 0.170 0.500
0.334 0.666 0.000
0.666 0.334 0.000
0.000 0.000 0.000

---

Record 14
NdDyPuIn (PBE, relaxed); formation energy from the elements = -52 meV/atom; N(E_F) = 15.74 states/eV/f.u.
1.0
0.000 3.864 3.864
3.864 0.000 3.864
3.864 3.864 0.000
Nd Dy Pu In
1 1 1 1
Direct
0.000 0.000 0.000
0.500 0.500 0.500
0.750 0.750 0.750
0.250 0.250 0.250

---

Record 15
Nd2DyIn2Rh5 (PBE, relaxed); formation energy from the elements = -520 meV/atom; N(E_F) = 5.27 states/eV/f.u.
1.0
10.479 0.000 0.000
0.000 10.479 0.000
0.000 0.000 3.736
Nd Dy In Rh
4 2 4 10
Direct
0.170 0.330 0.000
0.330 0.830 0.000
0.670 0.170 0.000
0.830 0.670 0.000
0.000 0.000 0.000
0.500 0.500 0.000
0.127 0.627 0.000
0.373 0.127 0.000
0.627 0.873 0.000
0.873 0.373 0.000
0.000 0.500 0.500
0.063 0.798 0.500
0.202 0.063 0.500
0.298 0.563 0.500
0.437 0.298 0.500
0.500 0.000 0.500
0.563 0.702 0.500
0.702 0.437 0.500
0.798 0.937 0.500
0.937 0.202 0.500

---

Record 16
NdDyInRh (PBE, relaxed); formation energy from the elements = -489 meV/atom; N(E_F) = 3.50 states/eV/f.u.
1.0
0.000 3.664 3.664
3.664 0.000 3.664
3.664 3.664 0.000
Nd Dy In Rh
1 1 1 1
Direct
0.000 0.000 0.000
0.500 0.500 0.500
0.750 0.750 0.750
0.250 0.250 0.250

---

Record 17
NdDyInRu (PBE, relaxed); formation energy from the elements = -261 meV/atom; N(E_F) = 2.46 states/eV/f.u.
1.0
0.000 3.640 3.640
3.640 0.000 3.640
3.640 3.640 0.000
Nd Dy In Ru
1 1 1 1
Direct
0.000 0.000 0.000
0.500 0.500 0.500
0.750 0.750 0.750
0.250 0.250 0.250

---

Record 18
NdDySc2In4 (PBE, relaxed); formation energy from the elements = -428 meV/atom; N(E_F) = 4.44 states/eV/f.u.
1.0
2.612 1.508 8.554
-2.612 1.508 8.554
0.000 -3.016 8.554
Nd Dy Sc In
1 1 2 4
Direct
0.000 0.000 0.000
0.500 0.500 0.500
0.250 0.250 0.250
0.750 0.750 0.750
0.126 0.126 0.126
0.377 0.377 0.377
0.623 0.623 0.623
0.874 0.874 0.874

---

Record 19
NdDyIn2Se4 (PBE, relaxed); raw formation energy = -29.8 kcal/mol of atoms
1.0
7.312 0.000 0.000
0.000 4.218 0.000
-2.433 0.000 7.730
Nd Dy In Se
1 1 2 4
Direct
0.000 0.000 0.000
0.500 0.500 0.000
0.000 0.500 0.500
0.500 0.000 0.500
0.246 0.500 0.214
0.271 0.000 0.790
0.729 0.000 0.210
0.754 0.500 0.786

---

Record 20
Nd3Sm2Dy6In (PBE, relaxed); formation energy from the elements = -49 meV/atom; N(E_F) = 16.38 states/eV/f.u.
1.0
3.076 -5.331 0.000
3.076 5.331 0.000
-2.058 0.000 11.598
Nd Sm Dy In
3 2 6 1
Direct
0.000 0.000 0.000
0.333 0.667 0.000
0.667 0.333 0.000
0.166 0.834 0.500
0.834 0.166 0.500
0.092 0.419 0.255
0.255 0.255 0.746
0.419 0.092 0.255
0.581 0.908 0.745
0.745 0.745 0.254
0.908 0.581 0.745
0.500 0.500 0.500

---

Record 21
NdSm2DyIn4 (PBE, relaxed); formation energy from the elements = -484 meV/atom; N(E_F) = 3.35 states/eV/f.u.
1.0
2.702 1.560 8.844
-2.702 1.560 8.844
0.000 -3.119 8.844
Nd Sm Dy In
1 2 1 4
Direct
0.000 0.000 0.000
0.250 0.250 0.250
0.750 0.750 0.750
0.500 0.500 0.500
0.126 0.126 0.126
0.376 0.376 0.376
0.624 0.624 0.624
0.874 0.874 0.874

---

Record 22
Nd3Sm6Dy2In (PBE, relaxed); formation energy from the elements = -36 meV/atom; N(E_F) = 15.46 states/eV/f.u.
1.0
3.111 -5.405 0.000
3.111 5.405 0.000
-2.113 0.000 11.644
Nd Sm Dy In
3 6 2 1
Direct
0.000 0.000 0.000
0.331 0.669 0.000
0.669 0.331 0.000
0.094 0.420 0.257
0.254 0.254 0.745
0.420 0.094 0.257
0.580 0.906 0.743
0.746 0.746 0.255
0.906 0.580 0.743
0.166 0.834 0.500
0.834 0.166 0.500
0.500 0.500 0.500